Record 1
Entry from Alexandria: a geometry-optimized FeCo7 structure (PBE).

a = 6.9018 Å, b = 6.9018 Å, c = 6.9018 Å
α = 33.50°, β = 33.50°, γ = 33.50°
Closest atoms and distances in Å follow each position.
Sites, in units of the cell vectors:
Fe1 0.0000 0.0000 0.0000  8 Co 2.36-2.43
Co1 0.1211 0.1211 0.1211  1 Fe 2.36, 7 Co 2.39-2.46
Co2 0.2453 0.2453 0.2453  8 Co 2.39-2.50
Co3 0.3733 0.3733 0.3733  3 Fe 2.43, 5 Co 2.47-2.50
Co4 0.5000 0.5000 0.5000  8 Co 2.46-2.47
Co5 0.6267 0.6267 0.6267  3 Fe 2.43, 5 Co 2.47-2.50
Co6 0.7547 0.7547 0.7547  8 Co 2.39-2.50
Co7 0.8789 0.8789 0.8789  1 Fe 2.36, 7 Co 2.39-2.46

DFT total energy ... -7.219 eV per atom
Density ... 8.72 g/cm³
Space group ... R-3m, No. 166
DOS(E_F) ... 8.76 states/eV per cell
Distance to the lowest polymorph of the same formula ... 47 meV/atom

Record 2
Entry from Alexandria: a geometry-optimized Fe5Co3 structure (PBE).

a = 2.8286 Å, b = 5.6753 Å, c = 5.7374 Å
α = 90.00°, β = 90.00°, γ = 90.00°
Closest atoms and distances in Å follow each position.
Sites, in units of the cell vectors:
Fe1 0.0000 0.0000 0.0000  4 Co 2.46, 4 Fe 2.47
Fe2 0.0000 0.0000 0.4958  4 Co 2.45, 4 Fe 2.49
Fe3 0.0000 0.5000 0.4940  4 Co 2.45, 4 Fe 2.48
Fe4 0.5000 0.2519 0.7511  2 Co 2.44, 6 Fe 2.47-2.49
Fe5 0.5000 0.7481 0.7511  2 Co 2.44, 6 Fe 2.47-2.49
Co1 0.0000 0.5000 0.9959  4 Fe 2.44, 4 Co 2.48
Co2 0.5000 0.2496 0.2495  6 Fe 2.45-2.46, 2 Co 2.48
Co3 0.5000 0.7504 0.2495  6 Fe 2.45-2.46, 2 Co 2.48

DFT total energy ... -7.973 eV per atom
Density ... 8.22 g/cm³
Space group ... Pmm2, No. 25
DOS(E_F) ... 5.68 states/eV per cell
Distance to the lowest polymorph of the same formula ... 42 meV/atom

Record 3
Entry from Alexandria: a geometry-optimized Fe6Co7 structure (PBE).

a = 8.6333 Å, b = 8.6333 Å, c = 8.6333 Å
α = 31.13°, β = 31.13°, γ = 31.13°
Closest atoms and distances in Å follow each position.
Sites, in units of the cell vectors:
Fe1 0.0475 0.0475 0.0475  2 Fe 2.34-2.56, 6 Co 2.53
Fe2 0.1513 0.1513 0.1513  4 Fe 2.56-2.78, 12 Co 2.65-2.78
Fe3 0.3341 0.3341 0.3341  6 Co 2.55-2.57, 3 Fe 2.67
Fe4 0.6659 0.6659 0.6659  6 Co 2.55-2.57, 3 Fe 2.67
Fe5 0.8487 0.8487 0.8487  4 Fe 2.56-2.78, 12 Co 2.65-2.78
Fe6 0.9525 0.9525 0.9525  2 Fe 2.34-2.56, 6 Co 2.53
Co1 0.0841 0.5909 0.5909  5 Co 2.28-2.35, 3 Fe 2.53-2.55
Co2 0.4091 0.4091 0.9159  5 Co 2.28-2.35, 3 Fe 2.53-2.55
Co3 0.4091 0.9159 0.4091  5 Co 2.28-2.35, 3 Fe 2.53-2.55
Co4 0.5000 0.5000 0.5000  6 Co 2.35
Co5 0.5909 0.0841 0.5909  5 Co 2.28-2.35, 3 Fe 2.53-2.55
Co6 0.5909 0.5909 0.0841  5 Co 2.28-2.35, 3 Fe 2.53-2.55
Co7 0.9159 0.4091 0.4091  5 Co 2.28-2.35, 3 Fe 2.53-2.55

DFT total energy ... -7.679 eV per atom
Density ... 8.14 g/cm³
Space group ... R-3m, No. 166
DOS(E_F) ... 14.07 states/eV per cell

Record 4
Entry from Alexandria: a geometry-optimized Fe5Co3 structure (PBE).

a = 8.3940 Å, b = 8.3940 Å, c = 2.4744 Å
α = 95.73°, β = 95.73°, γ = 145.80°
Closest atoms and distances in Å follow each position.
Sites, in units of the cell vectors:
Fe1 0.0000 0.0000 0.0000  6 Fe 2.47, 2 Co 2.47
Fe2 0.1246 0.3757 0.5020  3 Co 2.45-2.46, 5 Fe 2.47
Fe3 0.3757 0.1246 0.5020  3 Co 2.45-2.46, 5 Fe 2.47
Fe4 0.6243 0.8754 0.4980  3 Co 2.45-2.46, 5 Fe 2.47
Fe5 0.8754 0.6243 0.4980  3 Co 2.45-2.46, 5 Fe 2.47
Co1 0.2500 0.7500 0.0000  4 Fe 2.45, 4 Co 2.47
Co2 0.5000 0.5000 0.0000  6 Fe 2.46-2.47, 2 Co 2.47
Co3 0.7500 0.2500 0.0000  4 Fe 2.45, 4 Co 2.47

DFT total energy ... -7.975 eV per atom
Density ... 8.21 g/cm³
Space group ... C2/m, No. 12
DOS(E_F) ... 4.55 states/eV per cell
Distance to the lowest polymorph of the same formula ... 39 meV/atom

Record 5
Entry from Alexandria: a geometry-optimized Fe8Co structure (PBE).

a = 5.5448 Å, b = 5.5448 Å, c = 5.5448 Å
α = 95.66°, β = 95.66°, γ = 143.39°
Closest atoms and distances in Å follow each position.
Sites, in units of the cell vectors:
Fe1 0.0000 0.3318 0.3318  11 Fe 2.47-2.51, 1 Co 2.47
Fe2 0.0000 0.6682 0.6682  11 Fe 2.47-2.51, 1 Co 2.47
Fe3 0.3318 0.0000 0.3318  11 Fe 2.47-2.51, 1 Co 2.47
Fe4 0.3332 0.3332 0.6664  10 Fe 2.47-2.48, 2 Co 2.47
Fe5 0.3332 0.6668 0.0000  10 Fe 2.47-2.48, 2 Co 2.47
Fe6 0.6668 0.3332 0.0000  10 Fe 2.47-2.48, 2 Co 2.47
Fe7 0.6668 0.6668 0.3336  10 Fe 2.47-2.48, 2 Co 2.47
Fe8 0.6682 0.0000 0.6682  11 Fe 2.47-2.51, 1 Co 2.47
Co1 0.0000 0.0000 0.0000  12 Fe 2.47

DFT total energy ... -8.182 eV per atom
Density ... 8.70 g/cm³
Space group ... I4/mmm, No. 139
DOS(E_F) ... 14.30 states/eV per cell
Distance to the lowest polymorph of the same formula ... 148 meV/atom

Record 6
Entry from Alexandria: a geometry-optimized Fe7Co structure (PBE).

a = 4.9252 Å, b = 4.9252 Å, c = 4.9252 Å
α = 60.00°, β = 60.00°, γ = 60.00°
Closest atoms and distances in Å follow each position.
Sites, in units of the cell vectors:
Fe1 0.0000 0.0000 0.0000  12 Fe 2.46
Fe2 0.0000 0.0000 0.5000  10 Fe 2.46, 2 Co 2.46
Fe3 0.0000 0.5000 0.0000  10 Fe 2.46, 2 Co 2.46
Fe4 0.0000 0.5000 0.5000  10 Fe 2.46, 2 Co 2.46
Fe5 0.5000 0.0000 0.0000  10 Fe 2.46, 2 Co 2.46
Fe6 0.5000 0.0000 0.5000  10 Fe 2.46, 2 Co 2.46
Fe7 0.5000 0.5000 0.0000  10 Fe 2.46, 2 Co 2.46
Co1 0.5000 0.5000 0.5000  12 Fe 2.46

DFT total energy ... -8.145 eV per atom
Density ... 8.84 g/cm³
Space group ... Fm-3m, No. 225
DOS(E_F) ... 11.22 states/eV per cell
Distance to the lowest polymorph of the same formula ... 167 meV/atom

Record 7
Entry from Alexandria: a geometry-optimized Fe4Co3 structure (PBE).

a = 4.7184 Å, b = 4.7184 Å, c = 6.3713 Å
α = 97.79°, β = 97.79°, γ = 34.93°
Closest atoms and distances in Å follow each position.
Sites, in units of the cell vectors:
Fe1 0.0000 0.0000 0.0000  2 Co 2.46, 6 Fe 2.47
Fe2 0.2843 0.2843 0.8561  4 Co 2.46, 4 Fe 2.47
Fe3 0.4260 0.4260 0.2862  6 Co 2.44-2.46, 2 Fe 2.47
Fe4 0.5686 0.5686 0.7109  4 Co 2.45, 4 Fe 2.47
Co1 0.1379 0.1379 0.4271  4 Fe 2.44-2.45, 4 Co 2.47-2.48
Co2 0.7138 0.7138 0.1419  6 Fe 2.45-2.46, 2 Co 2.47
Co3 0.8547 0.8547 0.5706  6 Fe 2.45-2.46, 2 Co 2.48

DFT total energy ... -7.909 eV per atom
Density ... 8.27 g/cm³
Space group ... Cm, No. 8
DOS(E_F) ... 4.42 states/eV per cell
Distance to the lowest polymorph of the same formula ... 23 meV/atom

Record 8
Entry from Alexandria: a geometry-optimized Fe4Co3 structure (PBE).

a = 14.1652 Å, b = 14.0933 Å, c = 2.4624 Å
α = 86.67°, β = 83.34°, γ = 9.99°
Closest atoms and distances in Å follow each position.
Sites, in units of the cell vectors:
Fe1 0.0000 0.0000 0.0000  4 Co 2.44-2.45, 4 Fe 2.46
Fe2 0.1425 0.1425 0.8575  2 Co 2.45, 6 Fe 2.46-2.48
Fe3 0.2876 0.2876 0.7124  2 Co 2.44, 6 Fe 2.46-2.48
Fe4 0.7150 0.7150 0.2850  8 Fe 2.46-2.48
Co1 0.4294 0.4294 0.5706  2 Fe 2.44, 6 Co 2.45-2.46
Co2 0.5712 0.5712 0.4288  4 Fe 2.45, 4 Co 2.46
Co3 0.8584 0.8584 0.1416  2 Fe 2.44, 6 Co 2.45-2.46

DFT total energy ... -7.872 eV per atom
Density ... 8.30 g/cm³
Space group ... Fmm2, No. 42
DOS(E_F) ... 6.83 states/eV per cell
Distance to the lowest polymorph of the same formula ... 59 meV/atom

Record 9
Entry from Alexandria: a geometry-optimized Fe5Co2 structure (PBE).

a = 14.2133 Å, b = 14.1410 Å, c = 2.4586 Å
α = 86.71°, β = 83.35°, γ = 9.94°
Closest atoms and distances in Å follow each position.
Sites, in units of the cell vectors:
Fe1 0.0000 0.0000 0.0000  8 Fe 2.46-2.47
Fe2 0.1438 0.1438 0.8562  2 Co 2.44, 6 Fe 2.46-2.47
Fe3 0.4282 0.4282 0.5718  8 Fe 2.46-2.47
Fe4 0.5718 0.5718 0.4282  8 Fe 2.46-2.47
Fe5 0.8562 0.8562 0.1438  2 Co 2.44, 6 Fe 2.46-2.47
Co1 0.2855 0.2855 0.7145  2 Fe 2.44, 6 Co 2.45-2.46
Co2 0.7145 0.7145 0.2855  2 Fe 2.44, 6 Co 2.45-2.46

DFT total energy ... -8.061 eV per atom
Density ... 8.24 g/cm³
Space group ... Fmmm, No. 69
DOS(E_F) ... 7.17 states/eV per cell
Distance to the lowest polymorph of the same formula ... 62 meV/atom

Record 10
Entry from Alexandria: a geometry-optimized Fe7Co structure (PBE).

a = 6.3725 Å, b = 6.3725 Å, c = 6.3725 Å
α = 143.25°, β = 143.25°, γ = 52.94°
Closest atoms and distances in Å follow each position.
Sites, in units of the cell vectors:
Fe1 0.0000 0.0000 0.0000  8 Fe 2.46
Fe2 0.1244 0.6244 0.5000  6 Fe 2.46-2.47, 2 Co 2.46
Fe3 0.2492 0.2492 0.0000  8 Fe 2.46-2.47
Fe4 0.3756 0.8756 0.5000  6 Fe 2.46-2.47, 2 Co 2.46
Fe5 0.6244 0.1244 0.5000  6 Fe 2.46-2.47, 2 Co 2.46
Fe6 0.7508 0.7508 0.0000  8 Fe 2.46-2.47
Fe7 0.8756 0.3756 0.5000  6 Fe 2.46-2.47, 2 Co 2.46
Co1 0.5000 0.5000 0.0000  8 Fe 2.46

DFT total energy ... -8.309 eV per atom
Density ... 8.11 g/cm³
Space group ... I4/mmm, No. 139
DOS(E_F) ... 6.75 states/eV per cell
Distance to the lowest polymorph of the same formula ... 4 meV/atom

Record 11
Entry from Alexandria: a geometry-optimized Fe4Co3 structure (PBE).

a = 13.3225 Å, b = 13.3225 Å, c = 13.3225 Å
α = 169.39°, β = 169.39°, γ = 15.03°
Closest atoms and distances in Å follow each position.
Sites, in units of the cell vectors:
Fe1 0.1378 0.1378 0.0000  8 Fe 2.46-2.63, 4 Co 2.57
Fe2 0.2877 0.2877 0.0000  12 Fe 2.46-2.64
Fe3 0.7123 0.7123 0.0000  12 Fe 2.46-2.64
Fe4 0.8622 0.8622 0.0000  8 Fe 2.46-2.63, 4 Co 2.57
Co1 0.0000 0.0000 0.0000  12 Co 2.46-2.47
Co2 0.4335 0.4335 0.0000  8 Co 2.46-2.47, 4 Fe 2.57
Co3 0.5665 0.5665 0.0000  8 Co 2.46-2.47, 4 Fe 2.57

DFT total energy ... -7.818 eV per atom
Density ... 8.28 g/cm³
Space group ... I4/mmm, No. 139
DOS(E_F) ... 6.66 states/eV per cell
Distance to the lowest polymorph of the same formula ... 113 meV/atom